No. 1
ErSiO | PBE | optimized geometry

The space group is R-3m (No. 166, hexagonal axes) and the conventional cell measures 3.7502, 3.7502 and 24.6710 Å, with angles of 90.00, 90.00 and 120.00 degrees. Symmetry generates all atoms from Er at (0.0000, 0.0000, 0.2239), Si at (0.0000, 0.0000, 0.3534) and O at (0.0000, 0.0000, 0.1312).

The crystal system is trigonal. For the total energy, the calculation gives -129.4 eV per cell.

---

No. 2
TaInPO | PBE | optimized geometry

The space group is P4/nmm (No. 129, origin choice 2) and the conventional cell measures 4.073, 4.073 and 7.752 Å, with angles of 90.00, 90.00 and 90.00 degrees. Symmetry generates all atoms from Ta at (0.250, 0.750, 0.000), In at (0.250, 0.250, 0.375), P at (0.250, 0.250, 0.807) and O at (0.250, 0.750, 0.500).

The crystal system is tetragonal. Its offset from the most stable computed form is 0.357 eV per atom. For the total energy, the calculation gives -54.9 eV per cell.

---

No. 3
LaH3Pt | PBE | optimized geometry

The space group is Cm (No. 8) and the conventional cell measures 12.077, 3.874 and 5.134 Å, with angles of 90.00, 93.79 and 90.00 degrees. Symmetry generates all atoms from La at (0.000, 0.000, 0.000), La at (0.236, 0.500, 0.519), H at (0.062, 0.500, 0.256), H at (0.174, 0.000, 0.271), H at (0.174, 0.000, 0.776), H at (0.283, 0.500, 0.035), H at (0.375, 0.000, 0.764), H at (0.456, 0.500, 0.489), Pt at (0.279, 0.000, 0.036) and Pt at (0.451, 0.000, 0.475).

The crystal system is monoclinic. For the total energy, the calculation gives -96.2 eV per cell.

---

No. 4
LiReNO | PBE | optimized geometry

The space group is Pmc2_1 (No. 26) and the conventional cell measures 3.302, 5.502 and 4.982 Å, with angles of 90.00, 90.00 and 90.00 degrees. Symmetry generates all atoms from Li at (0.000, 0.119, 0.000), Re at (0.500, 0.406, 0.454), N at (0.000, 0.247, 0.408) and O at (0.500, 0.251, 0.852).

The crystal system is orthorhombic. Its offset from the most stable computed form is 0.000 eV per atom. For the total energy, the calculation gives -61.2 eV per cell.

---

No. 5
RbTmAsO | PBE | optimized geometry

The space group is P4/nmm (No. 129, origin choice 2) and the conventional cell measures 4.098, 4.098 and 10.833 Å, with angles of 90.00, 90.00 and 90.00 degrees. Symmetry generates all atoms from Rb at (0.250, 0.750, 0.000), Tm at (0.250, 0.250, 0.414), As at (0.250, 0.250, 0.759) and O at (0.250, 0.750, 0.500).

The crystal system is tetragonal. Its offset from the most stable computed form is 0.234 eV per atom. For the total energy, the calculation gives -40.9 eV per cell.

---

No. 6
Hf5ZnAs3 | PBE | optimized geometry

The space group is P6_3/mcm (No. 193) and the conventional cell measures 8.2123, 8.2123 and 5.5732 Å, with angles of 90.00, 90.00 and 120.00 degrees. Symmetry generates all atoms from Hf at (0.0000, 0.2778, 0.2500), Hf at (0.3333, 0.6667, 0.0000), Zn at (0.0000, 0.0000, 0.0000) and As at (0.0000, 0.3830, 0.7500).

The crystal system is hexagonal. For the total energy, the calculation gives -142.4 eV per cell.

---

| no. | spin magnetization (Bohr magnetons per cell) |
| --- | --- |
| 1 | 0.0 |
| 2 | 0.0 |
| 3 | 0.0 |
| 4 | 0.0 |
| 5 | 0.0 |
| 6 | 0.0 |